This record from OQMD via LeMat-Bulk describes a geometry-optimized NpF structure. The functional is GGA-PBE.

Calculated values
SG: No. 187
Energy relative to the lowest polymorph listed for this composition (meV/atom): 0

a b c (Å): 2.9217 2.9217 4.1919
angles (deg): 90.00 90.00 120.00
Positions (direct):
Np 0.0000 0.0000 0.0000
F 0.3333 0.6667 0.5000